Record 1
{
  "formula": "LaTl2Ni",
  "functional": "GGA-PBE",
  "state": "optimized geometry",
  "vol_a3_per_fu": 99,
  "m_tot_mub_per_atom": 0.000,
  "delta_e_f_ev_per_atom": -0.093,
  "lattice_angstrom": [[-3.840, 3.886, 2.910], [-0.788, -0.647, 6.105], [3.962, 1.080, -4.631]],
  "species": ["La", "Tl", "Tl", "Ni"],
  "frac_coords": [[0.750, 0.250, 0.500], [0.456, 0.456, 0.000], [0.044, 0.044, 0.000], [0.250, 0.750, 0.500]]
}

---

Record 2
{
  "formula": "Rb2PaBS5",
  "functional": "GGA-PBE",
  "state": "optimized geometry",
  "vol_a3_per_fu": 271,
  "m_tot_mub_per_atom": 0.000,
  "e_form_raw_ev_per_atom": -1.102,
  "lattice_angstrom": [[-0.604, -3.759, -1.551], [9.232, 0.155, 1.475], [-2.041, -5.166, 13.319]],
  "species": ["S", "S", "S", "S", "S", "S", "S", "S", "S", "S", "Rb", "Rb", "Rb", "Rb", "B", "B", "Pa", "Pa"],
  "frac_coords": [[0.314, 0.628, 0.012], [0.324, 0.648, 0.406], [0.044, 0.088, 0.992], [0.484, 0.967, 0.304], [0.956, 0.912, 0.492], [0.679, 0.359, 0.156], [0.686, 0.372, 0.512], [0.321, 0.641, 0.656], [0.676, 0.352, 0.906], [0.516, 0.033, 0.804], [0.887, 0.774, 0.167], [0.122, 0.244, 0.349], [0.113, 0.226, 0.667], [0.878, 0.756, 0.849], [0.424, 0.848, 0.398], [0.576, 0.152, 0.898], [0.820, 0.640, 0.539], [0.180, 0.360, 0.039]]
}

---

Final energy per entry: -3.95, -5.41 eV/atom